No. 1
# La2Pm2In3, optimized geometry, DFT PBE
data_La2Pm2In3
_cell_length_a 4.547
_cell_length_b 25.124
_cell_length_c 3.614
_cell_angle_alpha 90.00
_cell_angle_beta 90.00
_cell_angle_gamma 90.00
_space_group_name_H-M_alt 'C m m m'
_space_group_IT_number 65
_space_group_name_Hall '-C 2 2'
loop_
_atom_site_label
_atom_site_fract_x
_atom_site_fract_y
_atom_site_fract_z
La1 0.000 0.206 0.000
Pm1 0.000 0.070 0.000
In1 0.000 0.362 0.500
In2 0.000 0.500 0.500
# DOS at the Fermi energy ... 6.3 states/eV/f.u.
# Calculated volume ... 29.5 A^3/atom
# Calculated formation energy ... -373 meV per atom

=====

No. 2
# Na3Zr2O3F4, optimized geometry, DFT PBE
data_Na3Zr2O3F4
_cell_length_a 3.702
_cell_length_b 18.666
_cell_length_c 5.288
_cell_angle_alpha 90.00
_cell_angle_beta 90.00
_cell_angle_gamma 90.00
_space_group_name_H-M_alt 'I m m 2'
_space_group_IT_number 44
loop_
_space_group_symop_operation_xyz
'x,y,z'
'-x,-y,z'
'-x,y,z'
'x,-y,z'
'x+1/2,y+1/2,z+1/2'
'-x+1/2,-y+1/2,z+1/2'
'-x+1/2,y+1/2,z+1/2'
'x+1/2,-y+1/2,z+1/2'
loop_
_atom_site_label
_atom_site_fract_x
_atom_site_fract_y
_atom_site_fract_z
Na1 0.000 0.000 0.000
Na2 0.000 0.197 0.928
Zr1 0.000 0.410 0.016
O1 0.000 0.088 0.673
O2 0.000 0.500 0.787
F1 0.000 0.298 0.152
F2 0.000 0.358 0.664
# Energy relative to the elements, uncorrected ... -2.88 eV/atom
# DOS at the Fermi energy ... 0.1 states/eV/f.u.
# Calculated volume ... 15.2 A^3/atom

=====

No. 3
# NaIn5Bi2, optimized geometry, DFT PBE
data_NaIn5Bi2
_cell_length_a 6.999
_cell_length_b 13.929
_cell_length_c 4.691
_cell_angle_alpha 90.00
_cell_angle_beta 90.00
_cell_angle_gamma 90.00
_space_group_name_H-M_alt 'P b a m'
_space_group_IT_number 55
loop_
_space_group_symop_operation_xyz
'x,y,z'
'-x,-y,-z'
'-x,-y,z'
'x,y,-z'
'x+1/2,-y+1/2,-z'
'-x+1/2,y+1/2,z'
'-x+1/2,y+1/2,-z'
'x+1/2,-y+1/2,z'
loop_
_atom_site_label
_atom_site_fract_x
_atom_site_fract_y
_atom_site_fract_z
Na1 0.000 0.000 0.000
In1 0.000 0.500 0.000
In2 0.005 0.250 0.000
In3 0.248 0.373 0.500
Bi1 0.247 0.628 0.500
# DOS at the Fermi energy ... 3.2 states/eV/f.u.
# Calculated volume ... 28.6 A^3/atom
# Calculated formation energy ... -56 meV per atom

=====

No. 4
# Tb6Ag5Pt, optimized geometry, DFT PBE
data_Tb6Ag5Pt
_cell_length_a 5.114
_cell_length_b 7.253
_cell_length_c 8.117
_cell_angle_alpha 90.00
_cell_angle_beta 108.26
_cell_angle_gamma 90.00
_space_group_name_H-M_alt 'P 1 2/m 1'
_space_group_IT_number 10
loop_
_space_group_symop_operation_xyz
'x,y,z'
'-x,-y,-z'
'-x,y,-z'
'x,-y,z'
loop_
_atom_site_label
_atom_site_fract_x
_atom_site_fract_y
_atom_site_fract_z
Tb1 0.000 0.239 0.000
Tb2 0.339 0.246 0.679
Ag1 0.168 0.500 0.335
Ag2 0.176 0.000 0.352
Ag3 0.500 0.500 0.000
Pt1 0.500 0.000 0.000
# DOS at the Fermi energy ... 6.6 states/eV/f.u.
# Calculated volume ... 23.8 A^3/atom
# Calculated formation energy ... -476 meV per atom

=====

No. 5
# KPbC3, optimized geometry, DFT PBE
data_KPbC3
_cell_length_a 4.751
_cell_length_b 4.751
_cell_length_c 4.751
_cell_angle_alpha 90.00
_cell_angle_beta 90.00
_cell_angle_gamma 90.00
_space_group_name_H-M_alt 'P m -3 m'
_space_group_IT_number 221
_space_group_name_Hall '-P 4 2 3'
loop_
_atom_site_label
_atom_site_fract_x
_atom_site_fract_y
_atom_site_fract_z
K1 0.000 0.000 0.000
Pb1 0.500 0.500 0.500
C1 0.000 0.000 0.500
# Energy above the most stable polymorph in this dataset ... 893 meV/atom
# DOS at the Fermi energy ... 4.4 states/eV/f.u.
# Calculated volume ... 21.4 A^3/atom
# Calculated formation energy ... 3834 meV per atom

=====

No. 6
# AcAlGa3, optimized geometry, DFT PBE
data_AcAlGa3
_cell_length_a 4.447
_cell_length_b 23.605
_cell_length_c 4.393
_cell_angle_alpha 90.00
_cell_angle_beta 90.00
_cell_angle_gamma 90.00
_space_group_name_H-M_alt 'C m c m'
_space_group_IT_number 63
_space_group_name_Hall '-C 2c 2'
loop_
_atom_site_label
_atom_site_fract_x
_atom_site_fract_y
_atom_site_fract_z
Ac1 0.000 0.082 0.250
Al1 0.000 0.198 0.750
Ga1 0.000 0.304 0.750
Ga2 0.000 0.365 0.250
Ga3 0.000 0.474 0.250
# Energy above the most stable polymorph in this dataset ... 55 meV/atom
# DOS at the Fermi energy ... 2.2 states/eV/f.u.
# Calculated volume ... 23.1 A^3/atom
# Calculated formation energy ... -391 meV per atom